Version i
Here is an optimized crystal structure of BaTcBr6 from Alexandria. Energies are from GGA-PBE.

```
BaTcBr6
1.0
4.2516 -6.2977 0.0000
4.2516 6.2977 0.0000
-3.1083 0.0000 5.9518
Ba Tc Br
1 1 6
direct
0.0000 0.0000 0.0000
0.5000 0.5000 0.5000
0.2203 0.5065 0.2021
0.2231 0.2231 0.5546
0.4935 0.7797 0.7979
0.5065 0.2203 0.2021
0.7769 0.7769 0.4454
0.7797 0.4935 0.7979
```

## Properties
magnetization	3.0	Bohr magnetons per cell
crystal system	monoclinic
space-group type	No. 12
density	3.7	g/cm3

Version ii
Here is an optimized crystal structure of BaTcBr6 from Alexandria. Energies are from GGA-PBE.

```
BaTcBr6
1.0
7.0528 0.0000 0.0000
-3.5169 6.1250 0.0000
-3.5188 -2.0303 6.5120
Ba Tc Br
1 1 6
direct
0.0000 0.0000 0.0000
0.0000 0.5000 0.5000
0.1700 0.4787 0.2775
0.2006 0.3088 0.7225
0.4125 0.8906 0.7230
0.5875 0.1094 0.2770
0.7994 0.6912 0.2775
0.8300 0.5213 0.7225
```

## Properties
magnetization	3.0	Bohr magnetons per cell
crystal system	triclinic
space-group type	No. 2
density	4.2	g/cm3

Which one is the least stable? From the structures above, version ii.